Compound: UNiMo
Source: OQMD
Functional: PBE
Structure: relaxed

Cell lengths 6.036, 6.036, 6.036 Å; angles 90.00, 90.00, 90.00 degrees
Space group F-43m (No. 216)
Inequivalent atoms, fractional coordinates:
1 U 0.000 0.000 0.000 (multiplicity 4)
2 Ni 0.250 0.250 0.250 (multiplicity 4)
3 Mo 0.000 0.000 0.500 (multiplicity 4)

Properties
crystal system: cubic
energy relative to the elements: 0.52 eV per atom

=====

Compound: Sr2Pt
Source: OQMD
Functional: PBE
Structure: relaxed

Cell lengths 13.014, 13.014, 13.014 Å; angles 90.00, 90.00, 90.00 degrees
Space group Fd-3m (No. 227, origin choice 2)
Inequivalent atoms, fractional coordinates:
1 Sr 0.000 0.000 0.000 (multiplicity 16)
2 Pt 0.125 0.125 0.125 (multiplicity 8)

Properties
crystal system: cubic
total DFT energy (no corrections): -3.014 eV per atom

=====

Compound: NbCdFeSi
Source: OQMD
Functional: PBE
Structure: relaxed

Cell lengths 6.271, 6.271, 6.271 Å; angles 90.00, 90.00, 90.00 degrees
Space group F-43m (No. 216)
Inequivalent atoms, fractional coordinates:
1 Nb 0.000 0.000 0.000 (multiplicity 4)
2 Cd 0.250 0.250 0.250 (multiplicity 4)
3 Fe 0.250 0.250 0.750 (multiplicity 4)
4 Si 0.000 0.000 0.500 (multiplicity 4)

Properties
crystal system: cubic
total DFT energy (no corrections): -5.790 eV per atom